--- w ---
The following is a meta-GGA SCAN calculation of a PBEsol-optimized structure of CrHg2Pt, from Alexandria via LeMat-Bulk.

Results
D(E_F)	2.015	states/eV/cell

Structure (CIF):
```
data_CrHg2Pt
_chemical_formula_sum 'Cr1 Hg2 Pt1'
_symmetry_space_group_name_H-M 'P 1'
_symmetry_Int_Tables_number 1
_cell_length_a 3.041
_cell_length_b 3.041
_cell_length_c 7.638
_cell_angle_alpha 90.00
_cell_angle_beta 90.00
_cell_angle_gamma 90.00
loop_
_symmetry_equiv_pos_as_xyz
'x,y,z'
loop_
_atom_site_label
_atom_site_fract_x
_atom_site_fract_y
_atom_site_fract_z
Cr1 0.000 0.000 0.000
Hg1 0.000 0.000 0.555
Hg2 0.500 0.500 0.250
Pt1 0.500 0.500 0.818
```

--- x ---
The following is a meta-GGA SCAN calculation of a PBEsol-optimized structure of CrHg2Pt, from Alexandria via LeMat-Bulk.

Results
D(E_F)	1.705	states/eV/cell

Structure (CIF):
```
data_CrHg2Pt
_chemical_formula_sum 'Cr1 Hg2 Pt1'
_symmetry_space_group_name_H-M 'P 1'
_symmetry_Int_Tables_number 1
_cell_length_a 4.139
_cell_length_b 4.139
_cell_length_c 4.066
_cell_angle_alpha 90.00
_cell_angle_beta 90.00
_cell_angle_gamma 90.00
loop_
_symmetry_equiv_pos_as_xyz
'x,y,z'
loop_
_atom_site_label
_atom_site_fract_x
_atom_site_fract_y
_atom_site_fract_z
Cr1 0.000 0.000 0.000
Hg1 0.000 0.500 0.500
Hg2 0.500 0.000 0.500
Pt1 0.500 0.500 0.000
```

The most stable arrangement is w, and the next structure is 3.8 kJ/mol of atoms less stable.

--- w ---
The following is a meta-GGA SCAN calculation of a PBEsol-optimized structure of CrHg2Rh, from Alexandria via LeMat-Bulk.

Results
D(E_F)	2.690	states/eV/cell

Structure (CIF):
```
data_CrHg2Rh
_chemical_formula_sum 'Cr1 Hg2 Rh1'
_symmetry_space_group_name_H-M 'P 1'
_symmetry_Int_Tables_number 1
_cell_length_a 2.877
_cell_length_b 2.877
_cell_length_c 8.001
_cell_angle_alpha 90.00
_cell_angle_beta 90.00
_cell_angle_gamma 90.00
loop_
_symmetry_equiv_pos_as_xyz
'x,y,z'
loop_
_atom_site_label
_atom_site_fract_x
_atom_site_fract_y
_atom_site_fract_z
Cr1 0.000 0.000 0.000
Hg1 0.000 0.000 0.563
Hg2 0.500 0.500 0.248
Rh1 0.500 0.500 0.825
```

--- x ---
The following is a meta-GGA SCAN calculation of a PBEsol-optimized structure of CrHg2Rh, from Alexandria via LeMat-Bulk.

Results
D(E_F)	5.637	states/eV/cell

Structure (CIF):
```
data_CrHg2Rh
_chemical_formula_sum 'Cr2 Hg4 Rh2'
_symmetry_space_group_name_H-M 'P 1'
_symmetry_Int_Tables_number 1
_cell_length_a 4.015
_cell_length_b 4.015
_cell_length_c 8.267
_cell_angle_alpha 90.00
_cell_angle_beta 90.00
_cell_angle_gamma 90.00
loop_
_symmetry_equiv_pos_as_xyz
'x,y,z'
loop_
_atom_site_label
_atom_site_fract_x
_atom_site_fract_y
_atom_site_fract_z
Cr1 0.000 0.000 0.000
Cr2 0.500 0.500 0.500
Hg1 0.000 0.000 0.500
Hg2 0.000 0.500 0.250
Hg3 0.500 0.000 0.750
Hg4 0.500 0.500 0.000
Rh1 0.000 0.500 0.750
Rh2 0.500 0.000 0.250
```

The most stable arrangement is w, and the next structure is 3.2 kJ/mol of atoms less stable.